A:
Entry from Alexandria via LeMat-Bulk: crystalline CoP2Br at its relaxed geometry (GGA-PBE).

Cell: 4.9919 4.9919 4.9918 Å, 90.00 90.00 90.00°
Element x y z (fractional)
Co 0.0000 0.0000 0.0000
Co 0.5000 0.5000 0.5000
P 0.0000 0.5000 0.0000
P 0.0000 0.5000 0.5000
P 0.5000 0.0000 0.0000
P 0.5000 0.0000 0.5000
Br 0.0000 0.0000 0.5000
Br 0.5000 0.5000 0.0000

=====

B:
Entry from Alexandria via LeMat-Bulk: crystalline CoP2Br at its relaxed geometry (GGA-PBE).

Cell: 2.8537 4.5344 10.0494 Å, 90.00 90.00 90.00°
Element x y z (fractional)
Co 0.0000 0.0000 0.0000
Co 0.5000 0.5000 0.5000
P 0.0000 0.5000 0.3144
P 0.0000 0.5000 0.6856
P 0.5000 0.0000 0.1856
P 0.5000 0.0000 0.8144
Br 0.0000 0.0000 0.5000
Br 0.5000 0.5000 0.0000

=====

The most stable of them is B.

=====

A:
Entry from Alexandria via LeMat-Bulk: crystalline CoP2Br at its relaxed geometry (GGA-PBE).

Cell: 3.2627 3.4805 13.3636 Å, 90.00 90.00 90.00°
Element x y z (fractional)
Co 0.0000 0.0000 0.0000
Co 0.5000 0.5000 0.5000
P 0.0000 0.0000 0.5241
P 0.0000 0.5000 0.6283
P 0.5000 0.0000 0.1283
P 0.5000 0.5000 0.0241
Br 0.0000 0.5000 0.3446
Br 0.5000 0.0000 0.8446

=====

B:
Entry from Alexandria via LeMat-Bulk: crystalline CoP2Br at its relaxed geometry (GGA-PBE).

Cell: 3.0807 3.0807 7.4904 Å, 90.00 90.00 90.00°
Element x y z (fractional)
Co 0.0000 0.0000 0.0000
P 0.0000 0.0000 0.2999
P 0.5000 0.5000 0.1501
Br 0.5000 0.5000 0.7479

=====

C:
Entry from Alexandria via LeMat-Bulk: crystalline CoP2Br at its relaxed geometry (GGA-PBE).

Cell: 6.2927 6.2927 6.2927 Å, 90.00 90.00 90.00°
Element x y z (fractional)
Co 0.0000 0.0000 0.0000
Co 0.0000 0.5000 0.5000
Co 0.5000 0.0000 0.5000
Co 0.5000 0.5000 0.0000
P 0.0000 0.0000 0.5000
P 0.0000 0.5000 0.0000
P 0.2500 0.2500 0.2500
P 0.2500 0.7500 0.7500
P 0.5000 0.0000 0.0000
P 0.5000 0.5000 0.5000
P 0.7500 0.2500 0.7500
P 0.7500 0.7500 0.2500
Br 0.2500 0.2500 0.7500
Br 0.2500 0.7500 0.2500
Br 0.7500 0.2500 0.2500
Br 0.7500 0.7500 0.7500

=====

D:
Entry from Alexandria via LeMat-Bulk: crystalline CoP2Br at its relaxed geometry (GGA-PBE).

Cell: 3.5734 3.5734 19.0886 Å, 90.00 90.00 120.00°
Element x y z (fractional)
Co 0.0000 0.0000 0.0000
Co 0.3333 0.6667 0.6667
Co 0.6667 0.3333 0.3333
P 0.0000 0.0000 0.2875
P 0.0000 0.0000 0.7125
P 0.3333 0.6667 0.3791
P 0.3333 0.6667 0.9542
P 0.6667 0.3333 0.0458
P 0.6667 0.3333 0.6209
Br 0.0000 0.0000 0.5000
Br 0.3333 0.6667 0.1667
Br 0.6667 0.3333 0.8333

=====

The most stable of them is D.

=====

A:
Entry from Alexandria via LeMat-Bulk: crystalline CoP2Br at its relaxed geometry (GGA-PBE).

Cell: 2.6265 3.2547 8.7444 Å, 90.00 90.00 90.00°
Element x y z (fractional)
Co 0.0000 0.0000 0.0000
P 0.5000 0.5000 0.1368
P 0.5000 0.5000 0.8632
Br 0.0000 0.0000 0.5000

=====

B:
Entry from Alexandria via LeMat-Bulk: crystalline CoP2Br at its relaxed geometry (GGA-PBE).

Cell: 3.9737 3.2411 7.5542 Å, 90.00 90.14 90.00°
Element x y z (fractional)
Co 0.0000 0.0000 0.0000
P 0.2074 0.5000 0.2409
P 0.5073 0.0000 0.1270
Br 0.9803 0.5000 0.7705

=====

C:
Entry from Alexandria via LeMat-Bulk: crystalline CoP2Br at its relaxed geometry (GGA-PBE).

Cell: 3.3938 3.3938 7.1364 Å, 90.00 90.00 90.00°
Element x y z (fractional)
Co 0.0000 0.0000 0.0000
P 0.0000 0.5000 0.5000
P 0.5000 0.0000 0.5000
Br 0.5000 0.5000 0.0000

=====

D:
Entry from Alexandria via LeMat-Bulk: crystalline CoP2Br at its relaxed geometry (GGA-PBE).

Cell: 6.2471 6.2471 6.2471 Å, 90.00 90.00 90.00°
Element x y z (fractional)
Co 0.0000 0.0000 0.0000
Co 0.0000 0.5000 0.5000
Co 0.5000 0.0000 0.5000
Co 0.5000 0.5000 0.0000
P 0.2500 0.2500 0.2500
P 0.2500 0.2500 0.7500
P 0.2500 0.7500 0.2500
P 0.2500 0.7500 0.7500
P 0.7500 0.2500 0.2500
P 0.7500 0.2500 0.7500
P 0.7500 0.7500 0.2500
P 0.7500 0.7500 0.7500
Br 0.0000 0.0000 0.5000
Br 0.0000 0.5000 0.0000
Br 0.5000 0.0000 0.0000
Br 0.5000 0.5000 0.5000

=====

The most stable of them is B.

=====

A:
Entry from Alexandria via LeMat-Bulk: crystalline CoPBr at its relaxed geometry (GGA-PBE).

Cell: 3.4284 3.4284 5.4747 Å, 90.00 90.00 120.00°
Element x y z (fractional)
Co 0.0000 0.0000 0.0000
P 0.6667 0.3333 0.1740
Br 0.3333 0.6667 0.7055

=====

B:
Entry from Alexandria via LeMat-Bulk: crystalline CoPBr at its relaxed geometry (GGA-PBE).

Cell: 2.8241 2.8241 15.5518 Å, 90.00 90.00 90.00°
Element x y z (fractional)
Co 0.0000 0.0000 0.0000
Co 0.5000 0.5000 0.5000
P 0.0000 0.0000 0.4323
P 0.5000 0.5000 0.9323
Br 0.0000 0.0000 0.6957
Br 0.5000 0.5000 0.1957

=====

The most stable of them is A.

=====

A:
Entry from Alexandria via LeMat-Bulk: crystalline CoPBr at its relaxed geometry (GGA-PBE).

Cell: 3.4993 6.0318 11.7552 Å, 90.00 90.00 90.00°
Element x y z (fractional)
Co 0.0000 0.0000 0.0000
Co 0.0000 0.5000 0.5000
Co 0.5000 0.0000 0.5000
Co 0.5000 0.5000 0.0000
P 0.0000 0.0000 0.4027
P 0.0000 0.5000 0.9027
P 0.5000 0.0000 0.9027
P 0.5000 0.5000 0.4027
Br 0.0000 0.0000 0.6468
Br 0.0000 0.5000 0.1468
Br 0.5000 0.0000 0.1468
Br 0.5000 0.5000 0.6468

=====

B:
Entry from Alexandria via LeMat-Bulk: crystalline CoPBr at its relaxed geometry (GGA-PBE).

Cell: 5.8761 5.8761 5.8761 Å, 90.00 90.00 90.00°
Element x y z (fractional)
Co 0.0000 0.0000 0.0000
Co 0.0000 0.5000 0.5000
Co 0.5000 0.0000 0.5000
Co 0.5000 0.5000 0.0000
P 0.2500 0.2500 0.7500
P 0.2500 0.7500 0.2500
P 0.7500 0.2500 0.2500
P 0.7500 0.7500 0.7500
Br 0.2500 0.2500 0.2500
Br 0.2500 0.7500 0.7500
Br 0.7500 0.2500 0.7500
Br 0.7500 0.7500 0.2500

=====

The most stable of them is A.

=====

A:
Entry from Alexandria via LeMat-Bulk: crystalline CoPBr at its relaxed geometry (GGA-PBE).

Cell: 2.7008 3.4730 11.5583 Å, 90.00 90.00 90.00°
Element x y z (fractional)
Co 0.0000 0.0000 0.0000
Co 0.5000 0.5000 0.5000
P 0.0000 0.0000 0.5422
P 0.5000 0.5000 0.0422
Br 0.0000 0.0000 0.7888
Br 0.5000 0.5000 0.2888

=====

B:
Entry from Alexandria via LeMat-Bulk: crystalline CoPBr at its relaxed geometry (GGA-PBE).

Cell: 6.1035 6.1035 6.1035 Å, 90.00 90.00 90.00°
Element x y z (fractional)
Co 0.0000 0.0000 0.0000
Co 0.0000 0.5000 0.5000
Co 0.5000 0.0000 0.5000
Co 0.5000 0.5000 0.0000
P 0.2500 0.2500 0.2500
P 0.2500 0.7500 0.7500
P 0.7500 0.2500 0.7500
P 0.7500 0.7500 0.2500
Br 0.0000 0.0000 0.5000
Br 0.0000 0.5000 0.0000
Br 0.5000 0.0000 0.0000
Br 0.5000 0.5000 0.5000

=====

The most stable of them is A.

=====

A:
Entry from Alexandria via LeMat-Bulk: crystalline Co3PBr at its relaxed geometry (GGA-PBE).

Cell: 4.3505 4.3505 4.3505 Å, 90.00 90.00 90.00°
Element x y z (fractional)
Co 0.0000 0.0000 0.5000
Co 0.0000 0.5000 0.0000
Co 0.5000 0.0000 0.0000
P 0.5000 0.5000 0.5000
Br 0.0000 0.0000 0.0000

=====

B:
Entry from Alexandria via LeMat-Bulk: crystalline Co3PBr at its relaxed geometry (GGA-PBE).

Cell: 4.2792 4.2792 4.2792 Å, 90.00 90.00 90.00°
Element x y z (fractional)
Co 0.0000 0.0000 0.5000
Co 0.0000 0.5000 0.0000
Co 0.5000 0.0000 0.0000
P 0.0000 0.0000 0.0000
Br 0.5000 0.5000 0.5000

=====

The most stable of them is B.

=====

A:
Entry from Alexandria via LeMat-Bulk: crystalline CoPBr3 at its relaxed geometry (GGA-PBE).

Cell: 5.1323 5.1323 5.1323 Å, 90.00 90.00 90.00°
Element x y z (fractional)
Co 0.0000 0.0000 0.0000
P 0.5000 0.5000 0.5000
Br 0.0000 0.5000 0.5000
Br 0.5000 0.0000 0.5000
Br 0.5000 0.5000 0.0000

=====

B:
Entry from Alexandria via LeMat-Bulk: crystalline CoPBr3 at its relaxed geometry (GGA-PBE).

Cell: 4.8078 4.8078 4.8078 Å, 90.00 90.00 90.00°
Element x y z (fractional)
Co 0.0000 0.0000 0.0000
P 0.5000 0.5000 0.5000
Br 0.0000 0.0000 0.5000
Br 0.0000 0.5000 0.0000
Br 0.5000 0.0000 0.0000

=====

The most stable of them is B.

=====

A:
Entry from Alexandria via LeMat-Bulk: crystalline CoPSe2Br at its relaxed geometry (GGA-PBE).

Cell: 4.8965 4.8965 4.9077 Å, 90.00 90.00 90.00°
Element x y z (fractional)
Co 0.0000 0.0000 0.0000
P 0.5000 0.5000 0.5000
Se 0.0000 0.5000 0.5000
Se 0.5000 0.0000 0.5000
Br 0.5000 0.5000 0.0000

=====

B:
Entry from Alexandria via LeMat-Bulk: crystalline CoPSe2Br at its relaxed geometry (GGA-PBE).

Cell: 4.6435 4.6435 4.7883 Å, 90.00 90.00 90.00°
Element x y z (fractional)
Co 0.0000 0.0000 0.0000
P 0.5000 0.5000 0.5000
Se 0.0000 0.5000 0.0000
Se 0.5000 0.0000 0.0000
Br 0.0000 0.0000 0.5000

=====

The most stable of them is B.

=====

A:
Entry from Alexandria via LeMat-Bulk: crystalline CoPb3Br at its relaxed geometry (GGA-PBE).

Cell: 5.6843 5.6843 5.6843 Å, 90.00 90.00 90.00°
Element x y z (fractional)
Co 0.0000 0.0000 0.0000
Pb 0.0000 0.5000 0.5000
Pb 0.5000 0.0000 0.5000
Pb 0.5000 0.5000 0.0000
Br 0.5000 0.5000 0.5000

=====

B:
Entry from Alexandria via LeMat-Bulk: crystalline CoPb3Br at its relaxed geometry (GGA-PBE).

Cell: 5.1691 5.1691 5.1691 Å, 90.00 90.00 90.00°
Element x y z (fractional)
Co 0.0000 0.0000 0.0000
Pb 0.0000 0.0000 0.5000
Pb 0.0000 0.5000 0.0000
Pb 0.5000 0.0000 0.0000
Br 0.5000 0.5000 0.5000

=====

The most stable of them is B.

=====

A:
Entry from Alexandria via LeMat-Bulk: crystalline CoPbBr4 at its relaxed geometry (GGA-PBE).

Cell: 6.9664 6.9664 9.2751 Å, 90.00 90.00 109.97°
Element x y z (fractional)
Co 0.1355 0.8645 0.7500
Co 0.8645 0.1355 0.2500
Pb 0.5000 0.5000 0.0000
Pb 0.5000 0.5000 0.5000
Br 0.2364 0.7636 0.5270
Br 0.2364 0.7636 0.9730
Br 0.2369 0.2453 0.2500
Br 0.2453 0.2369 0.7500
Br 0.7547 0.7631 0.2500
Br 0.7631 0.7547 0.7500
Br 0.7636 0.2364 0.0270
Br 0.7636 0.2364 0.4730

=====

B:
Entry from Alexandria via LeMat-Bulk: crystalline CoPbBr4 at its relaxed geometry (GGA-PBE).

Cell: 6.3164 6.3164 6.3164 Å, 60.00 60.00 60.00°
Element x y z (fractional)
Co 0.0000 0.0000 0.0000
Pb 0.7500 0.7500 0.7500
Br 0.3738 0.3738 0.3738
Br 0.3738 0.3738 0.8784
Br 0.3738 0.8784 0.3738
Br 0.8784 0.3738 0.3738

=====

The most stable of them is A.

=====

A:
Entry from Alexandria via LeMat-Bulk: crystalline CoPd3Br at its relaxed geometry (GGA-PBE).

Cell: 4.6981 4.6981 4.6981 Å, 90.00 90.00 90.00°
Element x y z (fractional)
Co 0.0000 0.0000 0.0000
Pd 0.0000 0.5000 0.5000
Pd 0.5000 0.0000 0.5000
Pd 0.5000 0.5000 0.0000
Br 0.5000 0.5000 0.5000

=====

B:
Entry from Alexandria via LeMat-Bulk: crystalline CoPd3Br at its relaxed geometry (GGA-PBE).

Cell: 4.6572 4.6572 4.6572 Å, 90.00 90.00 90.00°
Element x y z (fractional)
Co 0.0000 0.0000 0.0000
Pd 0.0000 0.0000 0.5000
Pd 0.0000 0.5000 0.0000
Pd 0.5000 0.0000 0.0000
Br 0.5000 0.5000 0.5000

=====

The most stable of them is B.